KCdMoO4 | PBE+U | relaxed

Output
Calculated total energy, eV for the cell shown: -78.281
Calculated volume, Å³/cell: 269.2
D(E_F), states/eV per atom: 0.21

a b c (Å): 6.339 5.920 7.762
angles (deg): 90.00 112.45 90.00
Space group P2_1/m (No. 11)
One atom of each set of equivalent atoms:
K  0.237  0.250  0.045 (multiplicity 2)
Cd  0.121  0.750  0.574 (multiplicity 2)
Mo  0.478  0.250  0.691 (multiplicity 2)
O  0.215  0.750  0.208 (multiplicity 2)
O  0.364  0.250  0.443 (multiplicity 2)
O  0.371  0.007  0.776 (multiplicity 4)